Here is crystalline Cs2ZnBr2 at its relaxed geometry from Alexandria via LeMat-Bulk. Energies are from PBE.

Properties
symmetry	P4/mbm, No. 127
energy above the lowest structure with this stoichiometry	0	meV per atom

a b c (Å): 10.056 10.056 4.534
angles (deg): 90.00 90.00 90.00
Positions (direct):
1 Cs 0.144 0.356 0.000
2 Cs 0.356 0.856 0.000
3 Cs 0.644 0.144 0.000
4 Cs 0.856 0.644 0.000
5 Zn 0.000 0.000 0.000
6 Zn 0.500 0.500 0.000
7 Br 0.155 0.655 0.500
8 Br 0.345 0.155 0.500
9 Br 0.655 0.845 0.500
10 Br 0.845 0.345 0.500

Here is crystalline Cs3Zn5Br12 at its relaxed geometry from Alexandria via LeMat-Bulk. Energies are from PBE.

Properties
symmetry	Ia-3d, No. 230

a b c (Å): 15.317 15.317 15.317
angles (deg): 109.47 109.47 109.47
Positions (direct):
1 Cs 0.125 0.250 0.375
2 Cs 0.125 0.375 0.750
3 Cs 0.250 0.375 0.125
4 Cs 0.250 0.875 0.625
5 Cs 0.375 0.125 0.250
6 Cs 0.375 0.750 0.125
7 Cs 0.625 0.250 0.875
8 Cs 0.625 0.875 0.750
9 Cs 0.750 0.125 0.375
10 Cs 0.750 0.625 0.875
11 Cs 0.875 0.625 0.250
12 Cs 0.875 0.750 0.625
13 Zn 0.000 0.000 0.000
14 Zn 0.000 0.000 0.500
15 Zn 0.000 0.500 0.000
16 Zn 0.000 0.500 0.500
17 Zn 0.125 0.750 0.875
18 Zn 0.125 0.875 0.250
19 Zn 0.250 0.125 0.875
20 Zn 0.250 0.625 0.375
21 Zn 0.375 0.250 0.625
22 Zn 0.375 0.625 0.750
23 Zn 0.500 0.000 0.000
24 Zn 0.500 0.000 0.500
25 Zn 0.500 0.500 0.000
26 Zn 0.500 0.500 0.500
27 Zn 0.625 0.375 0.250
28 Zn 0.625 0.750 0.375
29 Zn 0.750 0.375 0.625
30 Zn 0.750 0.875 0.125
31 Zn 0.875 0.125 0.750
32 Zn 0.875 0.250 0.125
33 Br 0.003 0.190 0.103
34 Br 0.003 0.313 0.899
35 Br 0.086 0.690 0.687
36 Br 0.086 0.897 0.399
37 Br 0.101 0.603 0.414
38 Br 0.101 0.997 0.687
39 Br 0.103 0.003 0.190
40 Br 0.103 0.601 0.914
41 Br 0.187 0.190 0.586
42 Br 0.187 0.497 0.601
43 Br 0.190 0.103 0.003
44 Br 0.190 0.586 0.187
45 Br 0.310 0.313 0.914
46 Br 0.310 0.497 0.397
47 Br 0.313 0.899 0.003
48 Br 0.313 0.914 0.310
49 Br 0.397 0.310 0.497
50 Br 0.397 0.586 0.899
51 Br 0.399 0.086 0.897
52 Br 0.399 0.813 0.503
53 Br 0.414 0.101 0.603
54 Br 0.414 0.813 0.810
55 Br 0.497 0.397 0.310
56 Br 0.497 0.601 0.187
57 Br 0.503 0.399 0.813
58 Br 0.503 0.603 0.690
59 Br 0.586 0.187 0.190
60 Br 0.586 0.899 0.397
61 Br 0.601 0.187 0.497
62 Br 0.601 0.914 0.103
63 Br 0.603 0.414 0.101
64 Br 0.603 0.690 0.503
65 Br 0.687 0.086 0.690
66 Br 0.687 0.101 0.997
67 Br 0.690 0.503 0.603
68 Br 0.690 0.687 0.086
69 Br 0.810 0.414 0.813
70 Br 0.810 0.897 0.997
71 Br 0.813 0.503 0.399
72 Br 0.813 0.810 0.414
73 Br 0.897 0.399 0.086
74 Br 0.897 0.997 0.810
75 Br 0.899 0.003 0.313
76 Br 0.899 0.397 0.586
77 Br 0.914 0.103 0.601
78 Br 0.914 0.310 0.313
79 Br 0.997 0.687 0.101
80 Br 0.997 0.810 0.897

Here is crystalline Cs2ZnBr5 at its relaxed geometry from Alexandria via LeMat-Bulk. Energies are from PBE.

Properties
symmetry	I4mm, No. 107

a b c (Å): 7.818 7.818 10.680
angles (deg): 90.00 90.00 90.00
Positions (direct):
1 Cs 0.000 0.500 0.000
2 Cs 0.000 0.500 0.500
3 Cs 0.500 0.000 0.000
4 Cs 0.500 0.000 0.500
5 Zn 0.000 0.000 0.302
6 Zn 0.500 0.500 0.802
7 Br 0.000 0.000 0.532
8 Br 0.225 0.225 0.247
9 Br 0.225 0.775 0.247
10 Br 0.275 0.275 0.747
11 Br 0.275 0.725 0.747
12 Br 0.500 0.500 0.032
13 Br 0.725 0.275 0.747
14 Br 0.725 0.725 0.747
15 Br 0.775 0.225 0.247
16 Br 0.775 0.775 0.247

Here is crystalline Cs2ZrZnBr6 at its relaxed geometry from Alexandria via LeMat-Bulk. Energies are from PBE.

Properties
symmetry	Fm-3m, No. 225

a b c (Å): 8.423 8.423 8.423
angles (deg): 60.00 60.00 60.00
Positions (direct):
1 Cs 0.250 0.250 0.250
2 Cs 0.750 0.750 0.750
3 Zr 0.000 0.000 0.000
4 Zn 0.500 0.500 0.500
5 Br 0.223 0.223 0.777
6 Br 0.223 0.777 0.223
7 Br 0.223 0.777 0.777
8 Br 0.777 0.223 0.223
9 Br 0.777 0.223 0.777
10 Br 0.777 0.777 0.223

Here is crystalline CsZrBr5 at its relaxed geometry from Alexandria via LeMat-Bulk. Energies are from PBE.

Properties
symmetry	C2/c, No. 15

a b c (Å): 8.308 8.308 10.988
angles (deg): 109.32 109.32 57.01
Positions (direct):
1 Cs 0.001 0.999 0.750
2 Cs 0.999 0.001 0.250
3 Zr 0.500 0.500 0.000
4 Zr 0.500 0.500 0.500
5 Br 0.129 0.602 0.437
6 Br 0.131 0.595 0.927
7 Br 0.398 0.871 0.063
8 Br 0.405 0.869 0.573
9 Br 0.487 0.513 0.250
10 Br 0.513 0.487 0.750
11 Br 0.595 0.131 0.427
12 Br 0.602 0.129 0.937
13 Br 0.869 0.405 0.073
14 Br 0.871 0.398 0.563

Here is crystalline Cs2ZrBr7 at its relaxed geometry from Alexandria via LeMat-Bulk. Energies are from PBE.

Properties
symmetry	I4/mmm, No. 139

a b c (Å): 8.591 8.591 8.591
angles (deg): 121.91 121.91 86.73
Positions (direct):
1 Cs 0.250 0.750 0.500
2 Cs 0.750 0.250 0.500
3 Zr 0.000 0.000 0.000
4 Br 0.212 0.212 0.000
5 Br 0.225 0.225 0.449
6 Br 0.225 0.775 0.000
7 Br 0.500 0.500 0.000
8 Br 0.775 0.225 0.000
9 Br 0.775 0.775 0.551
10 Br 0.788 0.788 0.000

Here is crystalline CsZrBr6 at its relaxed geometry from Alexandria via LeMat-Bulk. Energies are from PBE.

Properties
symmetry	C2/m, No. 12

a b c (Å): 8.839 10.044 7.243
angles (deg): 90.00 104.01 90.00
Positions (direct):
1 Cs 0.000 0.000 0.000
2 Cs 0.500 0.500 0.000
3 Zr 0.000 0.500 0.500
4 Zr 0.500 0.000 0.500
5 Br 0.116 0.316 0.756
6 Br 0.116 0.684 0.756
7 Br 0.235 0.000 0.609
8 Br 0.265 0.500 0.391
9 Br 0.384 0.184 0.244
10 Br 0.384 0.816 0.244
11 Br 0.616 0.184 0.756
12 Br 0.616 0.816 0.756
13 Br 0.735 0.500 0.609
14 Br 0.765 0.000 0.391
15 Br 0.884 0.316 0.244
16 Br 0.884 0.684 0.244

Here is crystalline Cs2Zr3Br9 at its relaxed geometry from Alexandria via LeMat-Bulk. Energies are from PBE.

Properties
symmetry	C2/m, No. 12

a b c (Å): 11.134 11.134 10.861
angles (deg): 103.59 103.59 116.62
Positions (direct):
1 Cs 0.054 0.736 0.683
2 Cs 0.264 0.946 0.317
3 Cs 0.736 0.054 0.683
4 Cs 0.946 0.264 0.317
5 Zr 0.273 0.454 0.856
6 Zr 0.385 0.385 0.133
7 Zr 0.454 0.273 0.856
8 Zr 0.546 0.727 0.144
9 Zr 0.615 0.615 0.867
10 Zr 0.727 0.546 0.144
11 Br 0.004 0.393 0.680
12 Br 0.111 0.315 0.986
13 Br 0.188 0.188 0.675
14 Br 0.250 0.250 0.287
15 Br 0.296 0.704 0.000
16 Br 0.315 0.111 0.986
17 Br 0.373 0.575 0.686
18 Br 0.393 0.004 0.680
19 Br 0.425 0.627 0.314
20 Br 0.575 0.373 0.686
21 Br 0.607 0.996 0.320
22 Br 0.627 0.425 0.314
23 Br 0.685 0.889 0.014
24 Br 0.704 0.296 0.000
25 Br 0.750 0.750 0.713
26 Br 0.812 0.812 0.325
27 Br 0.889 0.685 0.014
28 Br 0.996 0.607 0.320

Here is crystalline CsZr2Br2 at its relaxed geometry from Alexandria via LeMat-Bulk. Energies are from PBE.

Properties
symmetry	I4/mmm, No. 139

a b c (Å): 4.260 4.260 16.526
angles (deg): 90.00 90.00 90.00
Positions (direct):
1 Cs 0.000 0.000 0.000
2 Cs 0.500 0.500 0.500
3 Zr 0.000 0.500 0.250
4 Zr 0.000 0.500 0.750
5 Zr 0.500 0.000 0.250
6 Zr 0.500 0.000 0.750
7 Br 0.000 0.000 0.369
8 Br 0.000 0.000 0.631
9 Br 0.500 0.500 0.131
10 Br 0.500 0.500 0.869

Here is crystalline CsZrBr4 at its relaxed geometry from Alexandria via LeMat-Bulk. Energies are from PBE.

Properties
symmetry	C2/c, No. 15
energy above the lowest structure with this stoichiometry	0	meV per atom

a b c (Å): 8.914 8.914 6.372
angles (deg): 100.04 100.04 115.54
Positions (direct):
1 Cs 0.139 0.861 0.750
2 Cs 0.861 0.139 0.250
3 Zr 0.500 0.500 0.250
4 Zr 0.500 0.500 0.750
5 Br 0.192 0.313 0.879
6 Br 0.259 0.548 0.452
7 Br 0.313 0.192 0.379
8 Br 0.452 0.741 0.048
9 Br 0.548 0.259 0.952
10 Br 0.687 0.808 0.621
11 Br 0.741 0.452 0.548
12 Br 0.808 0.687 0.121

Taking the records one at a time from the top gives energy relative to the elements, uncorrected values of -1.164, -1.044, -1.151, -1.342, -1.495, -1.335, -1.257, -1.438, -0.521, -1.503 eV per atom.